Material: BaSrPrEu
Method: DFT, GGA-PBE
State: optimized geometry

Computed properties:
Raw total energy: -4.519 eV per atom
Size of the total moment: 7.71 μB/f.u.

Structure (CIF):
```
data_BaSrPrEu
_space_group_name_H-M_alt 'F -4 3 m'
_space_group_IT_number 216
_space_group_name_Hall 'F -4 2 3'
_cell_length_a 9.1014
_cell_length_b 9.1014
_cell_length_c 9.1014
_cell_angle_alpha 90.00
_cell_angle_beta 90.00
_cell_angle_gamma 90.00
loop_
_atom_site_label
_atom_site_type_symbol
_atom_site_fract_x
_atom_site_fract_y
_atom_site_fract_z
Ba1 Ba 0.0000 0.0000 0.0000
Sr1 Sr 0.2500 0.2500 0.2500
Pr1 Pr 0.0000 0.0000 0.5000
Eu1 Eu 0.2500 0.2500 0.7500
```